Version a
Density functional theory data (SCAN) for a crystal of InMoCl2 relaxed with PBEsol.

abc: 2.970 4.029 6.557
angles: 90.00 90.00 90.00
Each line ends with the local moment (μB).
Sites, in units of the cell vectors:
Mo 0.000 0.500 0.500  -0.69
Cl 0.999 0.000 0.713  0.00
Cl 0.001 0.000 0.287  0.00
In 0.500 0.500 0.000  0.02

## Properties
As for the magnetic moment: 0.690 μB per formula unit.

***

Version b
Density functional theory data (SCAN) for a crystal of InMoCl2 relaxed with PBEsol.

abc: 3.101 3.101 10.635
angles: 81.62 81.62 60.00
Sites, in units of the cell vectors:
Mo 0.000 0.000 0.000
Cl 0.280 0.280 0.160
Cl 0.720 0.720 0.840
In 0.500 0.500 0.500

## Properties
As for the magnetic moment: 0.000 μB per formula unit.

***

Version c
Density functional theory data (SCAN) for a crystal of InMoCl2 relaxed with PBEsol.

abc: 3.085 3.085 8.085
angles: 90.00 90.00 90.00
Each line ends with the local moment (μB).
Sites, in units of the cell vectors:
Mo 0.500 0.500 0.760  0.81
Cl 0.000 0.000 0.931  0.03
Cl 0.500 0.500 0.291  0.00
In 0.000 0.000 0.518  0.00

## Properties
As for the magnetic moment: 0.924 μB per formula unit.

***

Most stable to least stable, the ends of the list are version b and version a.

***

Version a
Density functional theory data (SCAN) for a crystal of InPCl2 relaxed with PBEsol.

abc: 4.313 4.313 5.251
angles: 114.25 114.25 90.00
Sites, in units of the cell vectors:
Cl 0.750 0.250 0.500
Cl 0.250 0.750 0.500
In 0.500 0.500 0.000
P 0.000 0.000 0.000

## Properties
As for the magnetic moment: 0.001 μB per formula unit.

***

Version b
Density functional theory data (SCAN) for a crystal of InPCl2 relaxed with PBEsol.

abc: 3.227 3.227 9.093
angles: 79.78 79.78 60.00
Sites, in units of the cell vectors:
Cl 0.257 0.257 0.229
Cl 0.743 0.743 0.771
In 0.500 0.500 0.500
P 0.000 0.000 0.000

## Properties
As for the magnetic moment: 0.000 μB per formula unit.

***

Most stable to least stable, the ends of the list are version b and version a.

***

Version a
Density functional theory data (SCAN) for a crystal of In2PCl relaxed with PBEsol.

abc: 3.666 3.666 7.927
angles: 90.00 90.00 90.00
Sites, in units of the cell vectors:
Cl 0.500 0.500 0.759
In 0.000 0.000 0.962
In 0.500 0.500 0.425
P 0.000 0.000 0.354

## Properties
As for the magnetic moment: 0.000 μB per formula unit.

***

Version b
Density functional theory data (SCAN) for a crystal of In2PCl relaxed with PBEsol.

abc: 4.910 4.910 4.910
angles: 60.00 60.00 60.00
Sites, in units of the cell vectors:
Cl 0.500 0.500 0.500
In 0.250 0.250 0.250
In 0.750 0.750 0.750
P 0.000 0.000 0.000

## Properties
As for the magnetic moment: 0.000 μB per formula unit.

***

Most stable to least stable, the ends of the list are version a and version b.

***

Version a
Density functional theory data (SCAN) for a crystal of InPbS2Cl relaxed with PBEsol.

abc: 4.925 4.998 4.998
angles: 90.00 90.00 90.00
Sites, in units of the cell vectors:
Pb 0.500 0.500 0.500
S 0.000 0.000 0.500
S 0.000 0.500 0.000
Cl 0.500 0.000 0.000
In 0.000 0.000 0.000

## Properties
As for the magnetic moment: 0.000 μB per formula unit.

***

Version b
Density functional theory data (SCAN) for a crystal of InPbS2Cl relaxed with PBEsol.

abc: 5.105 5.105 5.367
angles: 90.00 90.00 90.00
Sites, in units of the cell vectors:
Pb 0.000 0.000 0.000
S 0.000 0.500 0.000
S 0.500 0.000 0.000
Cl 0.000 0.000 0.500
In 0.500 0.500 0.500

## Properties
As for the magnetic moment: 0.000 μB per formula unit.

***

Most stable to least stable, the ends of the list are version a and version b.

***

Version a
Density functional theory data (SCAN) for a crystal of In2PtCl relaxed with PBEsol.

abc: 3.867 3.867 6.533
angles: 107.21 107.21 90.00
Sites, in units of the cell vectors:
Cl 0.250 0.750 0.500
Pt 0.500 0.500 0.000
In 0.000 0.000 0.000
In 0.750 0.250 0.500

## Properties
As for the magnetic moment: 0.000 μB per formula unit.

***

Version b
Density functional theory data (SCAN) for a crystal of In2PtCl relaxed with PBEsol.

abc: 3.696 3.696 7.610
angles: 80.68 80.68 62.91
Sites, in units of the cell vectors:
Cl 0.000 0.000 0.500
Pt 0.500 0.500 0.000
In 0.205 0.205 0.791
In 0.795 0.795 0.209

## Properties
As for the magnetic moment: 0.000 μB per formula unit.

***

Most stable to least stable, the ends of the list are version b and version a.

***

Version a
Density functional theory data (SCAN) for a crystal of RbInCl2 relaxed with PBEsol.

abc: 6.910 6.910 8.925
angles: 112.78 112.78 90.00
Sites, in units of the cell vectors:
In 0.250 0.750 0.500
In 0.000 0.000 0.000
Rb 0.750 0.250 0.500
Rb 0.500 0.500 0.000
Cl 0.354 0.875 0.250
Cl 0.896 0.375 0.250
Cl 0.125 0.104 0.750
Cl 0.625 0.646 0.750

## Properties
As for the magnetic moment: 0.000 μB per formula unit.

***

Version b
Density functional theory data (SCAN) for a crystal of RbInCl2 relaxed with PBEsol.

abc: 5.387 5.387 5.387
angles: 60.00 60.00 60.00
Sites, in units of the cell vectors:
In 0.500 0.500 0.500
Rb 0.000 0.000 0.000
Cl 0.250 0.250 0.250
Cl 0.750 0.750 0.750

## Properties
As for the magnetic moment: 0.000 μB per formula unit.

***

Most stable to least stable, the ends of the list are version b and version a.

***

Version a
Density functional theory data (SCAN) for a crystal of InReCl2 relaxed with PBEsol.

abc: 3.108 3.236 9.126
angles: 90.00 90.00 118.69
Sites, in units of the cell vectors:
Re 0.500 0.000 0.754
Cl 0.000 0.000 0.946
Cl 0.500 0.000 0.289
In 0.000 0.000 0.511

## Properties
As for the magnetic moment: 0.001 μB per formula unit.

***

Version b
Density functional theory data (SCAN) for a crystal of InReCl2 relaxed with PBEsol.

abc: 2.933 4.513 5.401
angles: 90.00 90.00 90.00
Each line ends with the local moment (μB).
Sites, in units of the cell vectors:
Re 0.000 0.500 0.500  1.21
Cl 0.000 0.000 0.000  0.01
Cl 0.500 0.000 0.500  0.01
In 0.500 0.500 0.000  -0.04

## Properties
As for the magnetic moment: 1.524 μB per formula unit.

***

Version c
Density functional theory data (SCAN) for a crystal of InReCl2 relaxed with PBEsol.

abc: 4.695 4.695 4.695
angles: 60.00 60.00 60.00
Each line ends with the local moment (μB).
Sites, in units of the cell vectors:
Re 0.500 0.500 0.500  1.95
Cl 0.250 0.250 0.250  0.04
Cl 0.750 0.750 0.750  0.04
In 0.000 0.000 0.000  -0.07

## Properties
As for the magnetic moment: 2.490 μB per formula unit.

***

Most stable to least stable, the ends of the list are version a and version c.

***

Version a
Density functional theory data (SCAN) for a crystal of InSbCl2 relaxed with PBEsol.

abc: 3.467 3.412 9.841
angles: 90.00 90.00 120.54
Sites, in units of the cell vectors:
Sb 0.500 0.000 0.766
Cl 0.000 0.000 0.973
Cl 0.500 0.000 0.283
In 0.000 0.000 0.478

## Properties
As for the magnetic moment: 0.000 μB per formula unit.

***

Version b
Density functional theory data (SCAN) for a crystal of InSbCl2 relaxed with PBEsol.

abc: 3.284 3.284 8.683
angles: 90.00 90.00 90.00
Sites, in units of the cell vectors:
Sb 0.500 0.500 0.500
Cl 0.000 0.000 0.762
Cl 0.000 0.000 0.238
In 0.500 0.500 0.000

## Properties
As for the magnetic moment: 0.000 μB per formula unit.

***

Most stable to least stable, the ends of the list are version a and version b.

***

Version a
Density functional theory data (SCAN) for a crystal of InSbCl2 relaxed with PBEsol.

abc: 4.413 4.558 4.558
angles: 90.00 90.00 90.00
Sites, in units of the cell vectors:
Sb 0.500 0.000 0.000
Cl 0.000 0.000 0.500
Cl 0.000 0.500 0.000
In 0.500 0.500 0.500

## Properties
As for the magnetic moment: 0.000 μB per formula unit.

***

Version b
Density functional theory data (SCAN) for a crystal of InSbCl2 relaxed with PBEsol.

abc: 3.431 4.663 5.711
angles: 90.00 90.00 90.00
Sites, in units of the cell vectors:
Sb 0.000 0.500 0.500
Cl 0.000 0.000 0.000
Cl 0.500 0.000 0.500
In 0.500 0.500 0.000

## Properties
As for the magnetic moment: 0.000 μB per formula unit.

***

Most stable to least stable, the ends of the list are version b and version a.

***

Version a
Density functional theory data (SCAN) for a crystal of InSeCl2 relaxed with PBEsol.

abc: 4.351 4.351 5.359
angles: 113.95 113.95 90.00
Each line ends with the local moment (μB).
Sites, in units of the cell vectors:
Cl 0.750 0.250 0.500  0.06
Cl 0.250 0.750 0.500  0.06
Se 0.000 0.000 0.000  0.37
In 0.500 0.500 0.000  -0.03

## Properties
As for the magnetic moment: 0.666 μB per formula unit.

***

Version b
Density functional theory data (SCAN) for a crystal of InSeCl2 relaxed with PBEsol.

abc: 3.242 4.207 6.142
angles: 90.00 90.00 90.00
Each line ends with the local moment (μB).
Sites, in units of the cell vectors:
Cl 0.000 0.000 0.753  0.06
Cl 0.000 0.000 0.247  0.06
Se 0.500 0.500 0.500  0.45
In 0.500 0.500 0.000  -0.03

## Properties
As for the magnetic moment: 0.793 μB per formula unit.

***

Most stable to least stable, the ends of the list are version a and version b.

***

Version a
Density functional theory data (SCAN) for a crystal of InSe2Cl relaxed with PBEsol.

abc: 3.874 3.873 6.193
angles: 90.00 90.00 90.00
Sites, in units of the cell vectors:
Cl 0.500 0.000 0.500
Se 0.000 0.000 0.000
Se 0.500 0.500 0.000
In 0.000 0.500 0.500

## Properties
As for the magnetic moment: 0.000 μB per formula unit.

***

Version b
Density functional theory data (SCAN) for a crystal of InSe2Cl relaxed with PBEsol.

abc: 3.996 3.996 7.094
angles: 73.64 73.64 60.00
Sites, in units of the cell vectors:
Cl 0.500 0.500 0.500
Se 0.260 0.260 0.219
Se 0.740 0.740 0.781
In 0.000 0.000 0.000

## Properties
As for the magnetic moment: 0.000 μB per formula unit.

***

Most stable to least stable, the ends of the list are version a and version b.

***

Version a
Density functional theory data (SCAN) for a crystal of In2SiCl relaxed with PBEsol.

abc: 3.404 3.404 7.614
angles: 90.00 90.00 90.00
Sites, in units of the cell vectors:
Cl 0.500 0.500 0.500
In 0.000 0.000 0.772
In 0.000 0.000 0.228
Si 0.500 0.500 0.000

## Properties
As for the magnetic moment: 0.000 μB per formula unit.

***

Version b
Density functional theory data (SCAN) for a crystal of In2SiCl relaxed with PBEsol.

abc: 3.164 4.808 6.580
angles: 111.43 103.91 90.00
Sites, in units of the cell vectors:
Cl 0.256 0.756 0.512
In 0.029 0.029 0.057
In 0.757 0.257 0.513
Si 0.459 0.459 0.917

## Properties
As for the magnetic moment: 0.000 μB per formula unit.

***

Version c
Density functional theory data (SCAN) for a crystal of In2SiCl relaxed with PBEsol.

abc: 3.527 4.628 5.644
angles: 90.00 90.00 90.00
Sites, in units of the cell vectors:
Cl 0.875 0.500 0.500
In 0.875 0.500 0.000
In 0.374 0.000 0.500
Si 0.376 0.000 0.000

## Properties
As for the magnetic moment: 0.000 μB per formula unit.

***

Most stable to least stable, the ends of the list are version c and version a.